ReTeIr: optimized geometry, GGA-PBEsol.

Values from the calculation:
raw formation energy = 0.921 eV per atom
SG = No. 216

Unit cell a=4.3473 b=4.3473 c=4.3473 alpha=60.00 beta=60.00 gamma=60.00
Each line ends with the local moment (μB).
Atoms (fractional coordinates):
Ir  0.2500  0.2500  0.2500  0.07
Te  0.5000  0.5000  0.5000  0.01
Re  0.0000  0.0000  0.0000  0.52

Re2TeIr: optimized geometry, GGA-PBEsol.

Values from the calculation:
raw formation energy = 0.631 eV per atom
SG = No. 10

Unit cell a=2.8627 b=4.1142 c=5.6473 alpha=90.00 beta=102.53 gamma=90.00
Atoms (fractional coordinates):
Te  0.5000  0.5000  0.0000
Re  0.8944  0.0000  0.2754
Re  0.1056  0.0000  0.7246
Ir  0.5000  0.5000  0.5000

Re2TeIr: optimized geometry, GGA-PBEsol.

Values from the calculation:
raw formation energy = 0.624 eV per atom
SG = No. 166

Unit cell a=2.9262 b=2.9262 c=8.7361 alpha=80.36 beta=80.36 gamma=60.00
Atoms (fractional coordinates):
Re  0.2511  0.2511  0.2466
Re  0.7489  0.7489  0.7534
Ir  0.0000  0.0000  0.0000
Te  0.5000  0.5000  0.5000

ReTeIr2: optimized geometry, GGA-PBEsol.

Values from the calculation:
raw formation energy = 0.639 eV per atom
SG = No. 71

Unit cell a=2.9163 b=4.6938 c=5.4001 alpha=115.76 beta=105.67 gamma=90.00
Atoms (fractional coordinates):
Re  0.0000  0.5000  0.0000
Ir  0.7538  0.7538  0.5076
Ir  0.2462  0.2462  0.4924
Te  0.5000  0.0000  0.0000

Ti2ReIr: optimized geometry, GGA-PBEsol.

Values from the calculation:
SG = No. 225
energy relative to the elements = -0.759 eV/atom

Unit cell a=4.3449 b=4.3449 c=4.3449 alpha=60.00 beta=60.00 gamma=60.00
Atoms (fractional coordinates):
Ti  0.2500  0.2500  0.2500
Ti  0.7500  0.7500  0.7500
Ir  0.5000  0.5000  0.5000
Re  0.0000  0.0000  0.0000

TlReIr2: optimized geometry, GGA-PBEsol.

Values from the calculation:
SG = No. 12
energy relative to the elements = 0.511 eV/atom

Unit cell a=2.8115 b=4.7922 c=4.9573 alpha=97.62 beta=90.00 gamma=107.06
Atoms (fractional coordinates):
Re  0.5000  0.0000  0.0000
Ir  0.2424  0.4847  0.2269
Ir  0.7576  0.5153  0.7731
Tl  0.0000  0.0000  0.5000

TlRe2Ir: optimized geometry, GGA-PBEsol.

Values from the calculation:
SG = No. 123
energy relative to the elements = 0.625 eV/atom

Unit cell a=2.7792 b=2.7792 c=8.2591 alpha=90.00 beta=90.00 gamma=90.00
Atoms (fractional coordinates):
Tl  0.5000  0.5000  0.0000
Re  0.0000  0.0000  0.2728
Re  0.0000  0.0000  0.7272
Ir  0.5000  0.5000  0.5000

TlRe2Ir: optimized geometry, GGA-PBEsol.

Values from the calculation:
SG = No. 47
energy relative to the elements = 0.858 eV/atom

Unit cell a=3.0642 b=4.3932 c=4.7695 alpha=90.00 beta=90.00 gamma=90.00
Atoms (fractional coordinates):
Re  0.5000  0.5000  0.0000
Re  0.0000  0.0000  0.0000
Ir  0.0000  0.5000  0.5000
Tl  0.5000  0.0000  0.5000

ReIr2W: optimized geometry, GGA-PBEsol.

Values from the calculation:
SG = No. 65
energy relative to the elements = -0.233 eV/atom

Unit cell a=2.7237 b=4.7567 c=4.7567 alpha=110.14 beta=90.00 gamma=90.00
Atoms (fractional coordinates):
Ir  0.0000  0.0000  0.5000
Ir  0.0000  0.5000  0.0000
Re  0.5000  0.0000  0.0000
W  0.5000  0.5000  0.5000

ReIr2W: optimized geometry, GGA-PBEsol.

Values from the calculation:
SG = No. 25
energy relative to the elements = -0.333 eV/atom

Unit cell a=2.7351 b=4.3943 c=4.7991 alpha=90.00 beta=90.00 gamma=90.00
Atoms (fractional coordinates):
Re  0.5000  0.0000  0.5456
Ir  0.0000  0.0000  0.0434
Ir  0.0000  0.5000  0.7019
W  0.5000  0.5000  0.2092

ReIr2W: optimized geometry, GGA-PBEsol.

Values from the calculation:
SG = No. 139
energy relative to the elements = -0.250 eV/atom

Unit cell a=3.8502 b=3.8502 c=4.7577 alpha=113.87 beta=113.87 gamma=90.00
Atoms (fractional coordinates):
Ir  0.2500  0.7500  0.5000
Ir  0.7500  0.2500  0.5000
Re  0.0000  0.0000  0.0000
W  0.5000  0.5000  0.0000

ReIr2W: optimized geometry, GGA-PBEsol.

Values from the calculation:
SG = No. 123
energy relative to the elements = -0.261 eV/atom

Unit cell a=3.8529 b=3.8529 c=3.8934 alpha=90.00 beta=90.00 gamma=90.00
Atoms (fractional coordinates):
Ir  0.0000  0.5000  0.0000
Ir  0.5000  0.0000  0.0000
Re  0.5000  0.5000  0.5000
W  0.0000  0.0000  0.5000